Entry from the Alexandria database: Ca2CoReO6 after structural relaxation (PBE with a Hubbard U).

```
Ca2CoReO6
1.0
5.603 0.000 0.000
0.000 5.603 0.000
0.000 0.000 3.871
Ca Co Re O
2 1 1 6
Direct
0.000 0.500 0.000
0.500 0.000 0.000
0.000 0.000 0.545
0.500 0.500 0.552
0.000 0.000 0.049
0.258 0.258 0.562
0.258 0.742 0.562
0.500 0.500 0.054
0.742 0.258 0.562
0.742 0.742 0.562
```

Total magnetization ... 0.408 μB/atom
E ... -7.056 eV per atom
DOS at the Fermi energy ... 3.26 states/eV/f.u.